First-principles (GGA-PBE) data for a relaxed CaV2Cr crystal, as listed in the Alexandria database.

Cell: 4.6221 4.6221 4.6221 Å, 60.00 60.00 60.00°
Last column: magnetic moment on the atom in μB.
Fractional positions:
Cr (0.5000, 0.5000, 0.5000)  -2.41
V (0.7500, 0.7500, 0.7500)  2.10
V (0.2500, 0.2500, 0.2500)  2.10
Ca (0.0000, 0.0000, 0.0000)  0.17

Space-group type   Fm-3m
Polymorph energy (0 for the lowest one)   0 meV/atom
Final energy   -6.65 eV/atom